(1)
Density functional theory data (GGA-PBE) for a geometry-optimized NbSe2F structure. Values from VASP.

Output
polymorph energy (0 for the lowest one): 60.5 kJ/mol of atoms
density: 6.793 Mg/m³
total energy: -5.3523 eV/atom
size of the total moment: 1.859 μB per cell

Structure (Quantum ESPRESSO input):
```
&SYSTEM
  ibrav = 0, nat = 16, ntyp = 3
/
ATOMIC_SPECIES
Nb 92.91 Nb.upf
Se 78.96 Se.upf
F 19.00 F.upf
ATOMIC_POSITIONS crystal
Nb 0.000 0.000 0.000
Nb 0.000 0.500 0.500
Nb 0.500 0.000 0.500
Nb 0.500 0.500 0.000
Se 0.250 0.250 0.250
Se 0.250 0.250 0.750
Se 0.250 0.750 0.250
Se 0.250 0.750 0.750
Se 0.750 0.250 0.250
Se 0.750 0.250 0.750
Se 0.750 0.750 0.250
Se 0.750 0.750 0.750
F 0.000 0.000 0.500
F 0.000 0.500 0.000
F 0.500 0.000 0.000
F 0.500 0.500 0.500
CELL_PARAMETERS angstrom
6.414 0.000 0.000
0.000 6.414 0.000
0.000 0.000 6.414
```



(2)
Density functional theory data (GGA-PBE) for a geometry-optimized La2Pd6Au9 structure. Values from VASP.

Output
density: 12.289 Mg/m³
total energy: -4.5051 eV/atom
energy of formation: -6.1 eV per formula unit
size of the total moment: 0.000 μB per cell

Structure (Quantum ESPRESSO input):
```
&SYSTEM
  ibrav = 0, nat = 17, ntyp = 3
/
ATOMIC_SPECIES
La 138.91 La.upf
Pd 106.42 Pd.upf
Au 196.97 Au.upf
ATOMIC_POSITIONS crystal
La 0.000 0.000 0.181
La 0.000 0.000 0.819
Pd 0.333 0.667 0.168
Pd 0.333 0.667 0.500
Pd 0.333 0.667 0.832
Pd 0.667 0.333 0.168
Pd 0.667 0.333 0.500
Pd 0.667 0.333 0.832
Au 0.000 0.500 0.000
Au 0.000 0.500 0.336
Au 0.000 0.500 0.664
Au 0.500 0.000 0.000
Au 0.500 0.000 0.336
Au 0.500 0.000 0.664
Au 0.500 0.500 0.000
Au 0.500 0.500 0.336
Au 0.500 0.500 0.664
CELL_PARAMETERS angstrom
5.527 0.000 0.000
-2.764 4.787 0.000
0.000 0.000 13.734
```



(3)
Density functional theory data (GGA-PBE) for a geometry-optimized NaVInCl6 structure. Values from VASP.

Output
density: 2.903 Mg/m³
total energy: -3.9837 eV/atom
size of the total moment: 6.001 μB per cell

Structure (Quantum ESPRESSO input):
```
&SYSTEM
  ibrav = 0, nat = 18, ntyp = 4
/
ATOMIC_SPECIES
Na 22.99 Na.upf
V 50.94 V.upf
In 114.82 In.upf
Cl 35.45 Cl.upf
ATOMIC_POSITIONS crystal
Na 0.000 0.000 0.000
Na 0.000 0.000 0.500
V 0.333 0.667 0.250
V 0.667 0.333 0.750
In 0.333 0.667 0.750
In 0.667 0.333 0.250
Cl 0.013 0.367 0.137
Cl 0.013 0.646 0.363
Cl 0.354 0.367 0.363
Cl 0.354 0.987 0.137
Cl 0.367 0.013 0.637
Cl 0.367 0.354 0.863
Cl 0.633 0.646 0.137
Cl 0.633 0.987 0.363
Cl 0.646 0.013 0.863
Cl 0.646 0.633 0.637
Cl 0.987 0.354 0.637
Cl 0.987 0.633 0.863
CELL_PARAMETERS angstrom
6.537 0.000 0.000
-3.268 5.661 0.000
0.000 0.000 12.410
```



(4)
Density functional theory data (GGA-PBE) for a geometry-optimized K2CdCo structure. Values from VASP.

Output
density: 2.986 Mg/m³
total energy: -2.0888 eV/atom
energy of formation: 1.9 eV per formula unit
size of the total moment: 1.425 μB per cell

Structure (Quantum ESPRESSO input):
```
&SYSTEM
  ibrav = 0, nat = 4, ntyp = 3
/
ATOMIC_SPECIES
K 39.10 K.upf
Cd 112.41 Cd.upf
Co 58.93 Co.upf
ATOMIC_POSITIONS crystal
K 0.000 0.000 0.000
K 0.500 0.500 0.410
Cd 0.000 0.000 0.677
Co 0.500 0.500 0.729
CELL_PARAMETERS angstrom
3.711 0.000 0.000
0.000 3.711 0.000
0.000 0.000 10.079
```



(5)
Density functional theory data (GGA-PBE) for a geometry-optimized KZn2Tc structure. Values from VASP.

Output
polymorph energy (0 for the lowest one): 0.0 kJ/mol of atoms
density: 5.421 Mg/m³
total energy: -3.1154 eV/atom
energy of formation: 1.5 eV per formula unit
size of the total moment: 0.170 μB per cell

Structure (Quantum ESPRESSO input):
```
&SYSTEM
  ibrav = 0, nat = 4, ntyp = 3
/
ATOMIC_SPECIES
K 39.10 K.upf
Zn 65.41 Zn.upf
Tc 98.00 Tc.upf
ATOMIC_POSITIONS crystal
K 0.000 0.000 0.000
Zn 0.500 0.500 0.334
Zn 0.500 0.500 0.666
Tc 0.000 0.000 0.500
CELL_PARAMETERS angstrom
3.297 0.000 0.000
0.000 3.297 0.000
0.000 0.000 7.550
```



(6)
Density functional theory data (GGA-PBE) for a geometry-optimized NdSm2Au3 structure. Values from VASP.

Output
polymorph energy (0 for the lowest one): 0.0 kJ/mol of atoms
density: 11.407 Mg/m³
total energy: -4.7919 eV/atom
energy of formation: -4.7 eV per formula unit
size of the total moment: 0.000 μB per cell

Structure (Quantum ESPRESSO input):
```
&SYSTEM
  ibrav = 0, nat = 12, ntyp = 3
/
ATOMIC_SPECIES
Nd 144.24 Nd.upf
Sm 150.36 Sm.upf
Au 196.97 Au.upf
ATOMIC_POSITIONS crystal
Nd 0.166 0.834 0.000
Nd 0.834 0.166 0.000
Sm 0.167 0.833 0.500
Sm 0.500 0.500 0.000
Sm 0.500 0.500 0.500
Sm 0.833 0.167 0.500
Au 0.000 0.000 0.253
Au 0.000 0.000 0.747
Au 0.335 0.665 0.256
Au 0.335 0.665 0.744
Au 0.665 0.335 0.256
Au 0.665 0.335 0.744
CELL_PARAMETERS angstrom
2.618 -7.862 0.000
2.618 7.862 0.000
0.000 0.000 7.327
```



no.,volume (Å³ per atom)
1,16.5
2,21.4
3,25.5
4,34.7
5,20.5
6,25.1